Below is a geometry-optimized Tb2ErIn3Pt2Au structure, with properties calculated at the PBE level.

POSCAR file:
```
Tb2ErIn3Pt2Au
1.0
3.8071 0.0000 0.0000
0.0000 6.7355 3.8984
0.0000 -6.7355 3.8984
In Pt Er Tb Au
3 2 1 2 1
direct
0.5000 0.9992 0.7308
0.5000 0.2695 0.2695
0.5000 0.7308 0.9992
0.5000 0.6660 0.3353
0.5000 0.3353 0.6660
0.0000 0.5920 0.5920
0.0000 0.0000 0.4078
0.0000 0.4078 0.0000
0.0000 0.9993 0.9993
```

Results
Total energy (eV per atom): -5.071
Density (g/cm3): 11.766

Below is a geometry-optimized Dy3Zn2Si4Au2 structure, with properties calculated at the PBE level.

POSCAR file:
```
Dy3Zn2Si4Au2
1.0
-2.0137 2.1012 12.5222
2.0137 -2.1012 12.5222
2.0137 2.1012 -12.5222
Si Au Dy Zn
4 2 3 2
direct
0.5467 0.5467 0.0000
0.1914 0.6914 0.5000
0.8086 0.3086 0.5000
0.4533 0.4533 0.0000
0.0951 0.5951 0.5000
0.9049 0.4049 0.5000
0.6463 0.1463 0.5000
0.3537 0.8537 0.5000
0.0000 0.0000 0.0000
0.7488 0.7488 0.0000
0.2512 0.2512 0.0000
```

Results
Total energy (eV per atom): -4.694
Relative energy among the computed polymorphs (meV per atom): 0
Density (g/cm3): 8.811

Below is a geometry-optimized DyMgAuSe3 structure, with properties calculated at the PBE level.

POSCAR file:
```
DyMgAuSe3
1.0
-3.6670 -1.0597 0.5640
-1.9427 -3.3465 -5.7204
3.3133 -9.1996 4.2566
Se Dy Mg Au
6 2 2 2
direct
0.6522 0.6956 0.4335
0.6522 0.6956 0.0665
0.3478 0.3044 0.5665
0.3478 0.3044 0.9335
0.1171 0.7657 0.7500
0.8828 0.2343 0.2500
0.0000 0.0000 0.0000
0.0000 0.0000 0.5000
0.2218 0.5564 0.2500
0.7782 0.4436 0.7500
0.4762 0.0476 0.7500
0.5238 0.9524 0.2500
```

Results
Total energy (eV per atom): -4.356
Density (g/cm3): 7.554

Below is a geometry-optimized LaBeCoSi structure, with properties calculated at the PBE level.

POSCAR file:
```
LaBeCoSi
1.0
3.7322 1.1000 2.2212
0.3637 4.0373 1.9080
-0.0802 0.3839 4.4631
Co Be Si La
1 1 1 1
direct
0.2500 0.2500 0.2500
0.7500 0.7500 0.7500
0.0000 0.0000 0.0000
0.5000 0.5000 0.5000
```

Results
Total energy (eV per atom): -5.263
Relative energy among the computed polymorphs (meV per atom): 0
Density (g/cm3): 6.135

Below is a geometry-optimized BeNbW2 structure, with properties calculated at the PBE level.

POSCAR file:
```
BeNbW2
1.0
0.0000 3.1247 3.1247
3.1247 0.0000 3.1247
3.1247 3.1247 0.0000
W Nb Be
2 1 1
direct
0.7500 0.7500 0.7500
0.0000 0.0000 0.0000
0.2500 0.2500 0.2500
0.5000 0.5000 0.5000
```

Results
Total energy (eV per atom): -9.687
Density (g/cm3): 12.779

Below is a geometry-optimized Y3Mg3AlCu2 structure, with properties calculated at the PBE level.

POSCAR file:
```
Y3Mg3AlCu2
1.0
-0.0226 -4.2223 6.1721
-2.7917 -2.7027 -6.3894
3.7135 -1.4778 -0.9974
Al Mg Y Cu
1 3 3 2
direct
0.0000 0.0000 0.0000
0.2512 0.0000 0.5000
0.0000 0.2512 0.5000
0.7488 0.7488 0.5000
0.0000 0.5814 0.0000
0.5814 0.0000 0.0000
0.4186 0.4186 0.0000
0.3333 0.6667 0.5000
0.6667 0.3333 0.5000
```

Results
Total energy (eV per atom): -4.125
Density (g/cm3): 4.109

Below is a geometry-optimized NaCo3Ge5 structure, with properties calculated at the PBE level.

POSCAR file:
```
NaCo3Ge5
1.0
-3.7062 -1.6402 2.7604
4.6168 -0.4048 1.6025
-0.5306 6.5613 3.1862
Ge Co Na
5 3 1
direct
0.6667 0.3333 0.7725
0.3333 0.6667 0.2275
0.0000 0.0000 0.5000
0.3333 0.6667 0.7725
0.6667 0.3333 0.2275
0.5000 0.0000 0.5000
0.0000 0.5000 0.5000
0.5000 0.5000 0.5000
0.0000 0.0000 0.0000
```

Results
Total energy (eV per atom): -5.157
Density (g/cm3): 6.138

Below is a geometry-optimized Cu2Ag3 structure, with properties calculated at the PBE level.

POSCAR file:
```
Cu2Ag3
1.0
-2.6545 -0.4734 4.0477
1.2525 -0.3725 4.6848
-0.3569 8.8123 0.7932
Ag Cu
6 4
direct
0.0998 0.0998 0.6982
0.4047 0.4047 0.8098
0.7048 0.7048 0.9134
0.2013 0.2013 0.3899
0.8034 0.8034 0.5884
0.5901 0.5901 0.2007
0.3040 0.3040 0.1043
0.9977 0.9977 0.0143
0.4965 0.4965 0.4912
0.8977 0.8977 0.2898
```

Results
Total energy (eV per atom): -3.091
Relative energy among the computed polymorphs (meV per atom): 58
Density (g/cm3): 9.609